Below is crystalline HfPdSe2Br at its relaxed geometry, with properties calculated at the PBE-GGA level.

- E: -22.4 eV per cell
- Energy above the lowest structure with this stoichiometry: 495 meV per atom

abc: 4.955 4.955 4.852
angles: 90.00 90.00 90.00
Space group P4/mmm (No. 123)
Symmetry-distinct sites (fractional):
Hf  0.000  0.000  0.000 [1 per cell]
Pd  0.500  0.500  0.500 [1 per cell]
Se  0.000  0.500  0.500 [2 per cell]
Br  0.500  0.500  0.000 [1 per cell]